Record 1
This record from the Open Quantum Materials Database describes crystalline K2Na2Nd4Nb2O13 at its relaxed geometry. The functional is GGA-PBE.

a b c (Å): 24.284 5.714 11.327
angles (deg): 90.00 116.75 90.00
Space group C2/c (No. 15)
Inequivalent atoms, fractional coordinates:
K  0.249  0.051  0.133 (multiplicity 8)
Na  0.159  0.463  0.523 (multiplicity 8)
Nd  0.064  0.046  0.951 (multiplicity 8)
Nd  0.064  0.463  0.675 (multiplicity 8)
Nb  0.153  0.033  0.285 (multiplicity 8)
O  0.000  0.257  0.750 (multiplicity 4)
O  0.001  0.252  0.476 (multiplicity 8)
O  0.103  0.231  0.343 (multiplicity 8)
O  0.133  0.194  0.641 (multiplicity 8)
O  0.134  0.272  0.142 (multiplicity 8)
O  0.137  0.228  0.880 (multiplicity 8)
O  0.238  0.065  0.380 (multiplicity 8)

The final energy is -690.1 eV/cell.

=====

Record 2
This record from the Open Quantum Materials Database describes crystalline PdPbO3 at its relaxed geometry. The functional is GGA-PBE.

a b c (Å): 5.752 8.415 5.382
angles (deg): 90.00 90.00 90.00
Space group Pnma (No. 62)
Inequivalent atoms, fractional coordinates:
Pd  0.072  0.250  0.017 (multiplicity 4)
Pb  0.000  0.000  0.500 (multiplicity 4)
O  0.103  0.750  0.327 (multiplicity 4)
O  0.207  0.602  0.803 (multiplicity 8)

The final energy is -102.9 eV/cell.

=====

Record 3
This record from the Open Quantum Materials Database describes crystalline TbGd2Al3Ni3 at its relaxed geometry. The functional is GGA-PBE.

a b c (Å): 3.863 12.187 7.027
angles (deg): 90.00 90.00 90.00
Space group Amm2 (No. 38)
Inequivalent atoms, fractional coordinates:
Tb  0.000  0.000  0.000 (multiplicity 2)
Gd  0.000  0.209  0.373 (multiplicity 4)
Al  0.500  0.000  0.347 (multiplicity 2)
Al  0.500  0.117  0.699 (multiplicity 4)
Ni  0.000  0.000  0.583 (multiplicity 2)
Ni  0.500  0.166  0.082 (multiplicity 4)

The final energy is -94.4 eV/cell.

=====

Record 4
This record from the Open Quantum Materials Database describes crystalline LiHfAlNi at its relaxed geometry. The functional is GGA-PBE.

a b c (Å): 6.124 6.124 6.124
angles (deg): 90.00 90.00 90.00
Space group F-43m (No. 216)
Inequivalent atoms, fractional coordinates:
Li  0.000  0.000  0.000 (multiplicity 4)
Hf  0.250  0.250  0.750 (multiplicity 4)
Al  0.250  0.250  0.250 (multiplicity 4)
Ni  0.000  0.000  0.500 (multiplicity 4)

Its energy above the most stable polymorph in this dataset is 0.000 eV/atom. The final energy is -92.3 eV/cell.

=====

Record 5
This record from the Open Quantum Materials Database describes crystalline Dy2ErIn3AgIr2 at its relaxed geometry. The functional is GGA-PBE.

a b c (Å): 3.843 13.324 7.695
angles (deg): 90.00 90.00 90.00
Space group Amm2 (No. 38)
Inequivalent atoms, fractional coordinates:
Dy  0.000  0.206  0.000 (multiplicity 4)
Er  0.000  0.000  0.619 (multiplicity 2)
In  0.500  0.000  0.938 (multiplicity 2)
In  0.500  0.134  0.341 (multiplicity 4)
Ag  0.000  0.000  0.207 (multiplicity 2)
Ir  0.500  0.167  0.706 (multiplicity 4)

The final energy is -96.1 eV/cell.

=====

Record 6
This record from the Open Quantum Materials Database describes crystalline DyLuGe at its relaxed geometry. The functional is GGA-PBE.

a b c (Å): 6.813 6.813 6.813
angles (deg): 90.00 90.00 90.00
Space group F-43m (No. 216)
Inequivalent atoms, fractional coordinates:
Dy  0.000  0.000  0.000 (multiplicity 4)
Lu  0.000  0.000  0.500 (multiplicity 4)
Ge  0.250  0.250  0.250 (multiplicity 4)

Its energy above the most stable polymorph in this dataset is 0.000 eV/atom. The final energy is -61.1 eV/cell.

=====

Record 7
This record from the Open Quantum Materials Database describes crystalline ZrTcTe2As2 at its relaxed geometry. The functional is GGA-PBE.

a b c (Å): 3.761 5.386 12.967
angles (deg): 90.00 90.00 90.00
Space group Imm2 (No. 44)
Inequivalent atoms, fractional coordinates:
Zr  0.000  0.000  0.000 (multiplicity 2)
Tc  0.000  0.000  0.773 (multiplicity 2)
Te  0.000  0.500  0.105 (multiplicity 2)
Te  0.000  0.500  0.678 (multiplicity 2)
As  0.000  0.259  0.371 (multiplicity 4)

The final energy is -73.7 eV/cell.

=====

Record 8
This record from the Open Quantum Materials Database describes crystalline KSiHg at its relaxed geometry. The functional is GGA-PBE.

a b c (Å): 7.140 7.140 7.140
angles (deg): 90.00 90.00 90.00
Space group F-43m (No. 216)
Inequivalent atoms, fractional coordinates:
K  0.000  0.000  0.000 (multiplicity 4)
Si  0.000  0.000  0.500 (multiplicity 4)
Hg  0.250  0.250  0.250 (multiplicity 4)

Its energy above the most stable polymorph in this dataset is 0.015 eV/atom. The final energy is -22.2 eV/cell.

=====

Record 9
This record from the Open Quantum Materials Database describes crystalline SmPtW at its relaxed geometry. The functional is GGA-PBE.

a b c (Å): 6.597 6.597 6.597
angles (deg): 90.00 90.00 90.00
Space group F-43m (No. 216)
Inequivalent atoms, fractional coordinates:
Sm  0.000  0.000  0.000 (multiplicity 4)
Pt  0.250  0.250  0.750 (multiplicity 4)
W  0.250  0.250  0.250 (multiplicity 4)

As for the formation energy: 1165 meV per atom. Its energy above the most stable polymorph in this dataset is 0.745 eV/atom. The final energy is -80.9 eV/cell.

=====

Record 10
This record from the Open Quantum Materials Database describes crystalline LiDyMgCd at its relaxed geometry. The functional is GGA-PBE.

a b c (Å): 7.068 7.068 7.068
angles (deg): 90.00 90.00 90.00
Space group F-43m (No. 216)
Inequivalent atoms, fractional coordinates:
Li  0.000  0.000  0.000 (multiplicity 4)
Dy  0.250  0.250  0.250 (multiplicity 4)
Mg  0.250  0.250  0.750 (multiplicity 4)
Cd  0.000  0.000  0.500 (multiplicity 4)

The final energy is -39.1 eV/cell.

=====

Record 11
This record from the Open Quantum Materials Database describes crystalline PrSe3S at its relaxed geometry. The functional is GGA-PBE.

a b c (Å): 4.910 4.910 4.910
angles (deg): 90.00 90.00 90.00
Space group Pm-3m (No. 221)
Inequivalent atoms, fractional coordinates:
Pr  0.000  0.000  0.000 (multiplicity 1)
Se  0.000  0.500  0.500 (multiplicity 3)
S  0.500  0.500  0.500 (multiplicity 1)

The final energy is -22.1 eV/cell.

=====

Record 12
This record from the Open Quantum Materials Database describes crystalline NaZnFeRe at its relaxed geometry. The functional is GGA-PBE.

a b c (Å): 6.008 6.008 6.008
angles (deg): 90.00 90.00 90.00
Space group F-43m (No. 216)
Inequivalent atoms, fractional coordinates:
Na  0.000  0.000  0.000 (multiplicity 4)
Zn  0.250  0.250  0.750 (multiplicity 4)
Fe  0.000  0.000  0.500 (multiplicity 4)
Re  0.250  0.250  0.250 (multiplicity 4)

Its energy above the most stable polymorph in this dataset is 0.000 eV/atom. The final energy is -81.6 eV/cell.

=====

Record 13
This record from the Open Quantum Materials Database describes crystalline Li2PuS3 at its relaxed geometry. The functional is GGA-PBE.

a b c (Å): 6.640 11.504 6.410
angles (deg): 90.00 110.22 90.00
Space group C2/m (No. 12)
Inequivalent atoms, fractional coordinates:
Li  0.000  0.000  0.000 (multiplicity 2)
Li  0.000  0.170  0.500 (multiplicity 4)
Li  0.000  0.500  0.500 (multiplicity 2)
Pu  0.000  0.334  0.000 (multiplicity 4)
S  0.243  0.500  0.252 (multiplicity 4)
S  0.248  0.330  0.752 (multiplicity 8)

The final energy is -155.8 eV/cell.

=====

Record 14
This record from the Open Quantum Materials Database describes crystalline Pr2Ge2O7 at its relaxed geometry. The functional is GGA-PBE.

a b c (Å): 6.969 7.008 12.636
angles (deg): 93.89 90.34 91.16
Space group P-1 (No. 2)
Inequivalent atoms, fractional coordinates:
Pr  0.051  0.329  0.116 (multiplicity 2)
Pr  0.119  0.083  0.362 (multiplicity 2)
Pr  0.327  0.830  0.110 (multiplicity 2)
Pr  0.369  0.242  0.627 (multiplicity 2)
Ge  0.145  0.618  0.385 (multiplicity 2)
Ge  0.161  0.149  0.883 (multiplicity 2)
Ge  0.375  0.737  0.600 (multiplicity 2)
Ge  0.488  0.673  0.831 (multiplicity 2)
O  0.004  0.664  0.081 (multiplicity 2)
O  0.007  0.012  0.184 (multiplicity 2)
O  0.036  0.228  0.565 (multiplicity 2)
O  0.067  0.409  0.314 (multiplicity 2)
O  0.222  0.924  0.622 (multiplicity 2)
O  0.250  0.100  0.008 (multiplicity 2)
O  0.290  0.778  0.315 (multiplicity 2)
O  0.295  0.723  0.915 (multiplicity 2)
O  0.301  0.561  0.494 (multiplicity 2)
O  0.354  0.492  0.122 (multiplicity 2)
O  0.357  0.214  0.808 (multiplicity 2)
O  0.373  0.137  0.215 (multiplicity 2)
O  0.389  0.573  0.702 (multiplicity 2)
O  0.414  0.159  0.445 (multiplicity 2)

The final energy is -325.0 eV/cell.

=====

Record 15
This record from the Open Quantum Materials Database describes crystalline GaB2Ir2 at its relaxed geometry. The functional is GGA-PBE.

a b c (Å): 3.114 3.114 12.037
angles (deg): 90.00 90.00 90.00
Space group I4/mmm (No. 139)
Inequivalent atoms, fractional coordinates:
Ga  0.000  0.000  0.000 (multiplicity 2)
B  0.000  0.500  0.250 (multiplicity 4)
Ir  0.000  0.000  0.376 (multiplicity 4)

Its energy above the most stable polymorph in this dataset is 0.000 eV/atom. The final energy is -71.0 eV/cell.

=====

Record 16
This record from the Open Quantum Materials Database describes crystalline LiNbInIr at its relaxed geometry. The functional is GGA-PBE.

a b c (Å): 6.363 6.363 6.363
angles (deg): 90.00 90.00 90.00
Space group F-43m (No. 216)
Inequivalent atoms, fractional coordinates:
Li  0.000  0.000  0.000 (multiplicity 4)
Nb  0.250  0.250  0.250 (multiplicity 4)
In  0.250  0.250  0.750 (multiplicity 4)
Ir  0.000  0.000  0.500 (multiplicity 4)

Its energy above the most stable polymorph in this dataset is 0.000 eV/atom. The final energy is -101.1 eV/cell.

=====

Record 17
This record from the Open Quantum Materials Database describes crystalline NdTaPt at its relaxed geometry. The functional is GGA-PBE.

a b c (Å): 6.660 6.660 6.660
angles (deg): 90.00 90.00 90.00
Space group F-43m (No. 216)
Inequivalent atoms, fractional coordinates:
Nd  0.000  0.000  0.000 (multiplicity 4)
Ta  0.000  0.000  0.500 (multiplicity 4)
Pt  0.250  0.250  0.250 (multiplicity 4)

As for the formation energy: 81 meV per atom. The final energy is -89.7 eV/cell.

=====

Record 18
This record from the Open Quantum Materials Database describes crystalline HoEr2Mg3ZnIn2 at its relaxed geometry. The functional is GGA-PBE.

a b c (Å): 4.537 12.910 7.440
angles (deg): 90.00 90.00 90.00
Space group Amm2 (No. 38)
Inequivalent atoms, fractional coordinates:
Ho  0.000  0.000  0.000 (multiplicity 2)
Er  0.000  0.208  0.625 (multiplicity 4)
Mg  0.500  0.000  0.653 (multiplicity 2)
Mg  0.500  0.118  0.298 (multiplicity 4)
Zn  0.000  0.000  0.418 (multiplicity 2)
In  0.500  0.167  0.916 (multiplicity 4)

The final energy is -56.4 eV/cell.

=====

Record 19
This record from the Open Quantum Materials Database describes crystalline PaCu2Pb2 at its relaxed geometry. The functional is GGA-PBE.

a b c (Å): 4.468 4.468 10.997
angles (deg): 90.00 90.00 90.00
Space group I4/mmm (No. 139)
Inequivalent atoms, fractional coordinates:
Pa  0.000  0.000  0.000 (multiplicity 2)
Cu  0.000  0.000  0.397 (multiplicity 4)
Pb  0.000  0.500  0.250 (multiplicity 4)

Its energy above the most stable polymorph in this dataset is 0.000 eV/atom. The final energy is -46.3 eV/cell.

=====

Record 20
This record from the Open Quantum Materials Database describes crystalline KPmB at its relaxed geometry. The functional is GGA-PBE.

a b c (Å): 6.795 6.795 6.795
angles (deg): 90.00 90.00 90.00
Space group F-43m (No. 216)
Inequivalent atoms, fractional coordinates:
K  0.000  0.000  0.000 (multiplicity 4)
Pm  0.000  0.000  0.500 (multiplicity 4)
B  0.250  0.250  0.250 (multiplicity 4)

Its energy above the most stable polymorph in this dataset is 0.000 eV/atom. The final energy is -39.2 eV/cell.

=====

Record 21
This record from the Open Quantum Materials Database describes crystalline RbHfCuS3 at its relaxed geometry. The functional is GGA-PBE.

a b c (Å): 9.777 3.749 14.617
angles (deg): 90.00 90.00 90.00
Space group Pnma (No. 62)
Inequivalent atoms, fractional coordinates:
Rb  0.249  0.250  0.006 (multiplicity 4)
Hf  0.006  0.250  0.749 (multiplicity 4)
Cu  0.244  0.250  0.285 (multiplicity 4)
S  0.045  0.250  0.368 (multiplicity 4)
S  0.054  0.750  0.866 (multiplicity 4)
S  0.244  0.750  0.191 (multiplicity 4)

The final energy is -138.7 eV/cell.

=====

Record 22
This record from the Open Quantum Materials Database describes crystalline GdCuOs at its relaxed geometry. The functional is GGA-PBE.

a b c (Å): 6.316 6.316 6.316
angles (deg): 90.00 90.00 90.00
Space group F-43m (No. 216)
Inequivalent atoms, fractional coordinates:
Gd  0.000  0.000  0.000 (multiplicity 4)
Cu  0.000  0.000  0.500 (multiplicity 4)
Os  0.250  0.250  0.750 (multiplicity 4)

As for the formation energy: 574 meV per atom. The final energy is -71.5 eV/cell.